Entry one
This record from Alexandria describes crystalline NaGe2Ir2 at its relaxed geometry. The functional is PBE.

Geometry as POSCAR:
```
NaGe2Ir2
1.0
7.524 0.000 0.000
0.000 7.524 0.000
0.000 0.000 2.840
Na Ge Ir
2 4 4
Cartesian
0.000 0.000 0.000
3.762 3.762 0.000
2.631 6.393 0.000
6.393 4.893 0.000
4.893 1.131 0.000
1.131 2.631 0.000
1.085 4.846 1.420
4.846 6.439 1.420
6.439 2.677 1.420
2.677 1.085 1.420
```

Values from the calculation:
N(E_F)   0.283 states/eV per atom
Theoretical density   11.42 g/cm³

=====

Entry two
This record from Alexandria describes crystalline NaGe2Ir2 at its relaxed geometry. The functional is PBE.

Geometry as POSCAR:
```
NaGe2Ir2
1.0
-0.140 3.152 2.805
-3.753 -1.376 1.358
0.430 -2.129 5.591
Na Ge Ir
1 2 2
Cartesian
0.000 0.000 0.000
-0.828 0.955 5.239
-2.635 -1.308 4.516
-1.371 0.157 2.932
-2.093 -0.510 6.823
```

Values from the calculation:
N(E_F)   0.562 states/eV per atom
Theoretical density   9.90 g/cm³

=====

Which one sits at the top of the stability order? entry one does.

=====

Entry one
This record from Alexandria describes crystalline Nd2Ge3Ir2 at its relaxed geometry. The functional is PBE.

Geometry as POSCAR:
```
Nd2Ge3Ir2
1.0
0.802 -2.434 -3.412
2.381 -5.252 4.307
-8.861 -2.231 2.177
Nd Ge Ir
4 6 4
Cartesian
-2.049 -2.391 1.224
-3.630 -7.527 1.848
-6.479 -5.577 -0.213
0.800 -4.341 3.285
-2.025 -5.492 3.442
-3.653 -4.425 -0.370
0.353 -3.941 0.226
-6.032 -5.977 2.846
-5.153 -7.916 4.436
-0.525 -2.002 -1.364
-0.628 -7.534 2.559
-5.051 -2.384 0.513
-4.109 -4.461 2.217
-1.570 -5.457 0.855
```

Values from the calculation:
N(E_F)   0.530 states/eV per atom
Theoretical density   10.53 g/cm³

=====

Entry two
This record from Alexandria describes crystalline Nd2Ge3Ir2 at its relaxed geometry. The functional is PBE.

Geometry as POSCAR:
```
Nd2Ge3Ir2
1.0
4.238 0.000 0.000
-2.119 5.276 -0.274
0.000 -2.772 6.445
Nd Ge Ir
2 3 2
Cartesian
2.119 3.090 1.256
0.000 -0.586 4.914
2.119 0.000 0.000
2.119 0.132 2.769
0.000 2.372 3.401
2.119 1.685 4.819
0.000 0.819 1.351
```

Values from the calculation:
N(E_F)   0.546 states/eV per atom
Theoretical density   10.50 g/cm³

=====

Which one sits at the top of the stability order? entry one does.

=====

Entry one
This record from Alexandria describes crystalline Ni4Ge2Ir at its relaxed geometry. The functional is PBE.

Geometry as POSCAR:
```
Ni4Ge2Ir
1.0
8.299 0.000 0.000
0.000 4.486 -2.077
0.000 -0.429 4.961
Ni Ge Ir
8 4 2
Cartesian
6.731 1.825 3.917
6.224 2.034 1.438
6.224 -0.209 2.477
5.717 -0.419 4.956
2.582 4.476 -2.071
2.075 4.267 0.408
2.075 2.023 1.446
1.568 2.233 -1.033
8.299 2.957 0.503
0.001 1.102 2.381
4.149 3.345 1.342
4.150 0.713 1.542
0.000 4.486 -2.077
4.149 2.241 -1.038
```

Values from the calculation:
N(E_F)   1.123 states/eV per atom
Theoretical density   10.72 g/cm³

=====

Entry two
This record from Alexandria describes crystalline Ni4Ge2Ir at its relaxed geometry. The functional is PBE.

Geometry as POSCAR:
```
Ni4Ge2Ir
1.0
4.546 0.000 0.000
0.000 4.546 0.000
2.273 2.273 5.942
Ni Ge Ir
4 2 1
Cartesian
2.273 2.273 3.528
4.546 4.546 2.414
0.000 2.273 0.000
2.273 0.000 0.000
2.273 2.273 1.276
4.546 4.546 4.666
0.000 0.000 0.000
```

Values from the calculation:
N(E_F)   1.533 states/eV per atom
Theoretical density   7.74 g/cm³

=====

Which one sits at the top of the stability order? entry one does.

=====

Entry one
This record from Alexandria describes crystalline PuNpGeIr at its relaxed geometry. The functional is PBE.

Geometry as POSCAR:
```
PuNpGeIr
1.0
4.810 0.000 0.000
2.405 4.166 0.000
2.405 1.389 3.928
Np Ge Ir Pu
1 1 1 1
Cartesian
0.000 0.000 0.000
2.405 1.389 0.982
4.810 2.777 1.964
7.216 4.166 2.946
```

Values from the calculation:
N(E_F)   2.473 states/eV per atom
Theoretical density   15.74 g/cm³

=====

Entry two
This record from Alexandria describes crystalline PuNpGeIr at its relaxed geometry. The functional is PBE.

Geometry as POSCAR:
```
PuNpGeIr
1.0
5.514 0.000 0.000
0.000 4.452 0.000
0.000 2.226 3.855
Pu Np Ge Ir
1 1 1 1
Cartesian
0.632 4.452 2.570
3.191 0.000 0.000
4.674 2.226 1.285
1.942 2.226 1.285
```

Values from the calculation:
N(E_F)   3.617 states/eV per atom
Theoretical density   13.09 g/cm³

=====

Which one sits at the top of the stability order? entry two does.

=====

Entry one
This record from Alexandria describes crystalline GeIrO at its relaxed geometry. The functional is PBE.

Geometry as POSCAR:
```
GeIrO
1.0
2.839 0.000 0.000
0.000 12.183 0.000
0.000 0.000 4.735
Ge Ir O
4 4 4
Cartesian
0.000 4.157 1.196
0.000 8.025 1.196
1.419 10.248 3.564
1.419 1.934 3.564
0.000 6.091 4.410
1.419 0.000 2.042
0.000 0.000 4.607
1.419 6.091 2.239
0.000 3.004 2.902
0.000 9.179 2.902
1.419 9.095 0.535
1.419 3.088 0.535
```

Values from the calculation:
N(E_F)   0.330 states/eV per atom
Theoretical density   11.39 g/cm³

=====

Entry two
This record from Alexandria describes crystalline GeIrO at its relaxed geometry. The functional is PBE.

Geometry as POSCAR:
```
GeIrO
1.0
4.856 0.000 -0.018
0.000 2.858 0.000
-1.461 0.000 6.245
Ge Ir O
2 2 2
Cartesian
1.981 0.715 1.257
1.413 2.144 4.971
0.354 0.715 3.165
3.041 2.144 3.063
2.009 0.715 6.068
1.386 2.144 0.160
```

Values from the calculation:
N(E_F)   0.386 states/eV per atom
Theoretical density   10.77 g/cm³

=====

Which one sits at the top of the stability order? entry two does.

=====

Entry one
This record from Alexandria describes crystalline GeIrO at its relaxed geometry. The functional is PBE.

Geometry as POSCAR:
```
GeIrO
1.0
5.855 0.000 0.000
2.928 5.071 0.000
2.928 1.690 5.368
Ir Ge O
3 3 3
Cartesian
2.928 1.690 2.651
5.855 3.381 5.212
5.855 3.381 0.366
7.919 3.342 4.120
4.857 5.187 4.120
4.790 1.613 4.120
6.390 5.150 1.285
7.120 2.032 1.285
4.055 2.959 1.285
```

Values from the calculation:
N(E_F)   0.876 states/eV per atom
Theoretical density   8.78 g/cm³

=====

Entry two
This record from Alexandria describes crystalline GeIrO at its relaxed geometry. The functional is PBE.

Geometry as POSCAR:
```
GeIrO
1.0
3.903 0.000 -0.001
0.000 2.886 0.000
-0.293 0.000 7.700
Ge Ir O
2 2 2
Cartesian
1.449 1.443 5.074
2.657 0.000 0.359
0.682 0.000 1.888
2.679 1.443 3.018
2.366 1.443 6.832
0.485 0.000 5.556
```

Values from the calculation:
N(E_F)   0.583 states/eV per atom
Theoretical density   10.75 g/cm³

=====

Entry three
This record from Alexandria describes crystalline GeIrO at its relaxed geometry. The functional is PBE.

Geometry as POSCAR:
```
GeIrO
1.0
-3.120 -1.442 -2.091
-0.770 -1.590 2.245
-6.717 11.504 5.845
Ge Ir O
4 4 4
Cartesian
-1.452 2.362 1.175
-5.196 7.319 5.220
-5.677 4.563 1.285
-9.420 9.520 5.330
-3.796 2.677 0.594
-7.540 7.634 4.639
-6.263 10.137 5.032
-3.289 3.590 3.232
-1.528 -0.543 -0.909
-5.272 4.414 3.136
-7.179 5.711 1.583
-4.205 -0.837 -0.217
```

Values from the calculation:
N(E_F)   0.169 states/eV per atom
Theoretical density   11.26 g/cm³

=====

Which one sits at the top of the stability order? entry three does.

=====

Entry one
This record from Alexandria describes crystalline GeIr3O at its relaxed geometry. The functional is PBE.

Geometry as POSCAR:
```
GeIr3O
1.0
4.182 0.000 0.000
0.000 4.182 0.000
0.000 0.000 4.182
Ge Ir O
1 3 1
Cartesian
2.091 2.091 2.091
0.000 2.091 0.000
0.000 0.000 2.091
2.091 0.000 0.000
0.000 0.000 0.000
```

Values from the calculation:
N(E_F)   1.260 states/eV per atom
Theoretical density   15.11 g/cm³

=====

Entry two
This record from Alexandria describes crystalline GeIr3O at its relaxed geometry. The functional is PBE.

Geometry as POSCAR:
```
GeIr3O
1.0
4.593 0.000 0.000
0.000 4.593 0.000
0.000 0.000 4.593
Ge Ir O
1 3 1
Cartesian
0.000 0.000 0.000
0.000 2.297 0.000
0.000 0.000 2.297
2.297 0.000 0.000
2.297 2.297 2.297
```

Values from the calculation:
N(E_F)   1.348 states/eV per atom
Theoretical density   11.40 g/cm³

=====

Which one sits at the top of the stability order? entry one does.

=====

Entry one
This record from Alexandria describes crystalline GePIrO2 at its relaxed geometry. The functional is PBE.

Geometry as POSCAR:
```
GePIrO2
1.0
3.822 0.000 0.000
0.000 3.822 0.000
0.000 0.000 5.086
P Ge Ir O
1 1 1 2
Cartesian
0.000 0.000 2.543
1.911 1.911 2.543
0.000 0.000 0.000
0.000 1.911 0.000
1.911 0.000 0.000
```

Values from the calculation:
N(E_F)   0.810 states/eV per atom
Theoretical density   7.33 g/cm³

=====

Entry two
This record from Alexandria describes crystalline GePIrO2 at its relaxed geometry. The functional is PBE.

Geometry as POSCAR:
```
GePIrO2
1.0
-1.081 2.872 1.579
0.105 -1.631 3.039
7.524 2.297 0.973
P Ge Ir O
1 1 1 2
Cartesian
3.762 1.148 0.486
0.000 0.000 0.000
3.274 1.769 2.795
0.053 -0.816 1.520
-0.540 1.436 0.789
```

Values from the calculation:
N(E_F)   0.660 states/eV per atom
Theoretical density   5.77 g/cm³

=====

Which one sits at the top of the stability order? entry two does.

=====

Entry one
This record from Alexandria describes crystalline GeIrOs3 at its relaxed geometry. The functional is PBE.

Geometry as POSCAR:
```
GeIrOs3
1.0
4.733 0.000 0.000
0.000 4.733 0.000
0.000 0.000 4.733
Ge Ir Os
1 1 3
Cartesian
2.366 2.366 2.366
0.000 0.000 0.000
0.000 2.366 0.000
0.000 0.000 2.366
2.366 0.000 0.000
```

Values from the calculation:
N(E_F)   1.145 states/eV per atom
Theoretical density   13.09 g/cm³

=====

Entry two
This record from Alexandria describes crystalline GeIrOs3 at its relaxed geometry. The functional is PBE.

Geometry as POSCAR:
```
GeIrOs3
1.0
-4.127 1.530 -0.624
-0.045 -1.783 -4.072
-1.652 -3.774 1.670
Ge Ir Os
1 1 3
Cartesian
0.000 0.000 0.000
-2.912 -2.013 -1.513
-0.022 -0.891 -2.036
-0.826 -1.887 0.835
-2.063 0.765 -0.312
```

Values from the calculation:
N(E_F)   1.379 states/eV per atom
Theoretical density   15.79 g/cm³

=====

Which one sits at the top of the stability order? entry two does.

=====

Entry one
This record from Alexandria describes crystalline GeIr3Os at its relaxed geometry. The functional is PBE.

Geometry as POSCAR:
```
GeIr3Os
1.0
4.498 0.000 0.000
0.000 4.498 0.000
0.000 0.000 4.498
Ge Ir Os
1 3 1
Cartesian
0.000 0.000 0.000
0.000 2.249 0.000
0.000 0.000 2.249
2.249 0.000 0.000
2.249 2.249 2.249
```

Values from the calculation:
N(E_F)   2.407 states/eV per atom
Theoretical density   15.31 g/cm³

=====

Entry two
This record from Alexandria describes crystalline GeIr3Os at its relaxed geometry. The functional is PBE.

Geometry as POSCAR:
```
GeIr3Os
1.0
4.758 0.000 0.000
0.000 4.758 0.000
0.000 0.000 4.758
Ge Ir Os
1 3 1
Cartesian
2.379 2.379 2.379
0.000 2.379 0.000
0.000 0.000 2.379
2.379 0.000 0.000
0.000 0.000 0.000
```

Values from the calculation:
N(E_F)   1.136 states/eV per atom
Theoretical density   12.94 g/cm³

=====

Which one sits at the top of the stability order? entry two does.

=====

Entry one
This record from Alexandria describes crystalline GePIr2 at its relaxed geometry. The functional is PBE.

Geometry as POSCAR:
```
GePIr2
1.0
0.000 3.068 3.068
3.068 0.000 3.068
3.068 3.068 0.000
P Ge Ir
1 1 2
Cartesian
0.000 0.000 0.000
3.068 3.068 3.068
1.534 1.534 1.534
4.602 4.602 4.602
```

Values from the calculation:
N(E_F)   1.278 states/eV per atom
Theoretical density   14.03 g/cm³

=====

Entry two
This record from Alexandria describes crystalline GePIr2 at its relaxed geometry. The functional is PBE.

Geometry as POSCAR:
```
GePIr2
1.0
5.401 0.000 0.000
0.000 5.401 0.000
2.700 2.700 5.374
P Ge Ir
2 2 4
Cartesian
2.700 2.700 0.000
2.700 5.401 2.687
0.000 0.000 0.000
5.401 2.700 2.687
3.902 1.350 1.344
1.499 4.051 1.344
4.051 4.199 4.031
6.751 6.602 4.031
```

Values from the calculation:
N(E_F)   0.377 states/eV per atom
Theoretical density   10.34 g/cm³

=====

Which one sits at the top of the stability order? entry two does.

=====

Entry one
This record from Alexandria describes crystalline Ge2PIr2 at its relaxed geometry. The functional is PBE.

Geometry as POSCAR:
```
Ge2PIr2
1.0
-2.489 6.948 -0.057
-4.232 -1.468 5.865
2.128 0.776 1.729
P Ge Ir
2 4 4
Cartesian
0.000 0.000 0.000
-3.360 2.740 2.904
-2.058 0.474 4.667
-4.152 3.654 5.815
-2.535 5.782 2.871
-0.441 2.603 1.722
-4.489 1.201 4.984
-4.861 4.977 3.746
-2.232 4.279 0.825
-1.860 0.503 2.063
```

Values from the calculation:
N(E_F)   0.430 states/eV per atom
Theoretical density   12.00 g/cm³

=====

Entry two
This record from Alexandria describes crystalline Ge2PIr2 at its relaxed geometry. The functional is PBE.

Geometry as POSCAR:
```
Ge2PIr2
1.0
3.791 0.000 0.000
0.000 3.791 0.000
1.896 1.896 5.864
P Ge Ir
1 2 2
Cartesian
0.000 0.000 0.000
3.791 1.896 2.932
1.896 3.791 2.932
1.896 1.896 1.349
3.791 3.791 4.515
```

Values from the calculation:
N(E_F)   0.543 states/eV per atom
Theoretical density   11.04 g/cm³

=====

Which one sits at the top of the stability order? entry one does.